Entry i
Tl2SiOs: optimized geometry, GGA-PBE.

CIF file:
```
data_Tl2SiOs
_cell_length_a 6.8513
_cell_length_b 6.8513
_cell_length_c 6.8513
_cell_angle_alpha 90.00
_cell_angle_beta 90.00
_cell_angle_gamma 90.00
_symmetry_space_group_name_H-M 'F -4 3 m'
_symmetry_Int_Tables_number 216
_symmetry_space_group_name_Hall 'F -4 2 3'
loop_
_atom_site_label
_atom_site_type_symbol
_atom_site_fract_x
_atom_site_fract_y
_atom_site_fract_z
Tl1 Tl 0.0000 0.0000 0.0000
Tl2 Tl 0.2500 0.2500 0.2500
Si1 Si 0.0000 0.0000 0.5000
Os1 Os 0.2500 0.2500 0.7500
```

The value obtained for the density of states at the Fermi level is 17.8 states/eV per cell.


Entry ii
Tl2SiOs: optimized geometry, GGA-PBE.

CIF file:
```
data_Tl2SiOs
_cell_length_a 3.6484
_cell_length_b 5.0242
_cell_length_c 4.8073
_cell_angle_alpha 90.00
_cell_angle_beta 93.98
_cell_angle_gamma 90.00
_symmetry_space_group_name_H-M 'P 1 2/m 1'
_symmetry_Int_Tables_number 10
loop_
_symmetry_equiv_pos_as_xyz
'x,y,z'
'-x,-y,-z'
'-x,y,-z'
'x,-y,z'
loop_
_atom_site_label
_atom_site_type_symbol
_atom_site_fract_x
_atom_site_fract_y
_atom_site_fract_z
Tl1 Tl 0.2264 0.0000 0.2555
Si1 Si 0.5000 0.5000 0.0000
Os1 Os 0.5000 0.5000 0.5000
```

The value obtained for the density of states at the Fermi level is 1.1 states/eV per cell.


Entry iii
Tl2SiOs: optimized geometry, GGA-PBE.

CIF file:
```
data_Tl2SiOs
_cell_length_a 3.4329
_cell_length_b 5.0917
_cell_length_c 9.1021
_cell_angle_alpha 90.00
_cell_angle_beta 90.00
_cell_angle_gamma 90.00
_symmetry_space_group_name_H-M 'I m m m'
_symmetry_Int_Tables_number 71
_symmetry_space_group_name_Hall '-I 2 2'
loop_
_atom_site_label
_atom_site_type_symbol
_atom_site_fract_x
_atom_site_fract_y
_atom_site_fract_z
Tl1 Tl 0.0000 0.0000 0.2485
Si1 Si 0.0000 0.5000 0.0000
Os1 Os 0.0000 0.5000 0.5000
```

The value obtained for the density of states at the Fermi level is 5.3 states/eV per cell.


Which of them is the most stable? Correct choice: entry ii.


Entry i
TmSi2Os2: optimized geometry, GGA-PBE.

CIF file:
```
data_TmSi2Os2
_cell_length_a 4.0737
_cell_length_b 4.0737
_cell_length_c 4.9740
_cell_angle_alpha 90.00
_cell_angle_beta 90.00
_cell_angle_gamma 90.00
_symmetry_space_group_name_H-M 'P 4/m m m'
_symmetry_Int_Tables_number 123
_symmetry_space_group_name_Hall '-P 4 2'
loop_
_atom_site_label
_atom_site_type_symbol
_atom_site_fract_x
_atom_site_fract_y
_atom_site_fract_z
Tm1 Tm 0.0000 0.0000 0.0000
Si1 Si 0.5000 0.5000 0.2336
Os1 Os 0.0000 0.5000 0.5000
```

The value obtained for the density of states at the Fermi level is 2.7 states/eV per cell.


Entry ii
TmSi2Os2: optimized geometry, GGA-PBE.

CIF file:
```
data_TmSi2Os2
_cell_length_a 4.1576
_cell_length_b 4.1576
_cell_length_c 9.5877
_cell_angle_alpha 90.00
_cell_angle_beta 90.00
_cell_angle_gamma 90.00
_symmetry_space_group_name_H-M 'I 4/m m m'
_symmetry_Int_Tables_number 139
_symmetry_space_group_name_Hall '-I 4 2'
loop_
_atom_site_label
_atom_site_type_symbol
_atom_site_fract_x
_atom_site_fract_y
_atom_site_fract_z
Tm1 Tm 0.0000 0.0000 0.0000
Si1 Si 0.0000 0.0000 0.3733
Os1 Os 0.0000 0.5000 0.2500
```

The value obtained for the density of states at the Fermi level is 5.9 states/eV per cell.


Which of them is the most stable? Correct choice: entry ii.


Entry i
VSiOs3: optimized geometry, GGA-PBE.

CIF file:
```
data_VSiOs3
_cell_length_a 4.3469
_cell_length_b 4.3469
_cell_length_c 4.3469
_cell_angle_alpha 90.00
_cell_angle_beta 90.00
_cell_angle_gamma 90.00
_symmetry_space_group_name_H-M 'P m -3 m'
_symmetry_Int_Tables_number 221
_symmetry_space_group_name_Hall '-P 4 2 3'
loop_
_atom_site_label
_atom_site_type_symbol
_atom_site_fract_x
_atom_site_fract_y
_atom_site_fract_z
V1 V 0.0000 0.0000 0.0000
Si1 Si 0.5000 0.5000 0.5000
Os1 Os 0.0000 0.5000 0.5000
```

The value obtained for the density of states at the Fermi level is 5.6 states/eV per cell.


Entry ii
VSiOs3: optimized geometry, GGA-PBE.

CIF file:
```
data_VSiOs3
_cell_length_a 4.4742
_cell_length_b 4.4742
_cell_length_c 4.4742
_cell_angle_alpha 90.00
_cell_angle_beta 90.00
_cell_angle_gamma 90.00
_symmetry_space_group_name_H-M 'P m -3 m'
_symmetry_Int_Tables_number 221
_symmetry_space_group_name_Hall '-P 4 2 3'
loop_
_atom_site_label
_atom_site_type_symbol
_atom_site_fract_x
_atom_site_fract_y
_atom_site_fract_z
V1 V 0.0000 0.0000 0.0000
Si1 Si 0.5000 0.5000 0.5000
Os1 Os 0.0000 0.0000 0.5000
```

The value obtained for the density of states at the Fermi level is 6.1 states/eV per cell.


Which of them is the most stable? Correct choice: entry i.


Entry i
V2SiOs2: optimized geometry, GGA-PBE.

CIF file:
```
data_V2SiOs2
_cell_length_a 3.8269
_cell_length_b 3.8269
_cell_length_c 11.1454
_cell_angle_alpha 90.00
_cell_angle_beta 90.00
_cell_angle_gamma 90.00
_symmetry_space_group_name_H-M 'I 4/m m m'
_symmetry_Int_Tables_number 139
_symmetry_space_group_name_Hall '-I 4 2'
loop_
_atom_site_label
_atom_site_type_symbol
_atom_site_fract_x
_atom_site_fract_y
_atom_site_fract_z
V1 V 0.0000 0.0000 0.1113
Si1 Si 0.0000 0.0000 0.5000
Os1 Os 0.0000 0.5000 0.2500
```

The value obtained for the density of states at the Fermi level is 7.9 states/eV per cell.


Entry ii
V2SiOs2: optimized geometry, GGA-PBE.

CIF file:
```
data_V2SiOs2
_cell_length_a 7.1474
_cell_length_b 7.1474
_cell_length_c 2.8806
_cell_angle_alpha 90.00
_cell_angle_beta 90.00
_cell_angle_gamma 90.00
_symmetry_space_group_name_H-M 'P 4/m b m'
_symmetry_Int_Tables_number 127
_symmetry_space_group_name_Hall '-P 4 2ab'
loop_
_atom_site_label
_atom_site_type_symbol
_atom_site_fract_x
_atom_site_fract_y
_atom_site_fract_z
V1 V 0.1580 0.3420 0.0000
Si1 Si 0.0000 0.0000 0.5000
Os1 Os 0.1380 0.6380 0.5000
```

The value obtained for the density of states at the Fermi level is 5.6 states/eV per cell.


Entry iii
V2SiOs2: optimized geometry, GGA-PBE.

CIF file:
```
data_V2SiOs2
_cell_length_a 7.2519
_cell_length_b 7.2519
_cell_length_c 2.8329
_cell_angle_alpha 90.00
_cell_angle_beta 90.00
_cell_angle_gamma 90.00
_symmetry_space_group_name_H-M 'P 4/m b m'
_symmetry_Int_Tables_number 127
_symmetry_space_group_name_Hall '-P 4 2ab'
loop_
_atom_site_label
_atom_site_type_symbol
_atom_site_fract_x
_atom_site_fract_y
_atom_site_fract_z
V1 V 0.1503 0.3497 0.0000
Si1 Si 0.0000 0.0000 0.0000
Os1 Os 0.1420 0.6420 0.5000
```

The value obtained for the density of states at the Fermi level is 7.4 states/eV per cell.


Which of them is the most stable? Correct choice: entry ii.